1.
Here is an optimized crystal structure of Na7PSe6 from the Alexandria database. Energies are from PBE.

Computed properties:
* ΔE_f (raw): -834 meV/atom
* space group: Ibam (72)

POSCAR file:
```
Na7PSe6
1.0
-3.698 7.163 7.721
3.698 -7.163 7.721
3.698 7.163 -7.721
Na P Se
14 2 12
direct
0.025 0.211 0.236 Na
0.105 0.518 0.844 Na
0.174 0.018 0.413 Na
0.250 0.250 0.000 Na
0.326 0.739 0.844 Na
0.395 0.239 0.413 Na
0.475 0.711 0.186 Na
0.525 0.289 0.814 Na
0.605 0.761 0.587 Na
0.674 0.261 0.156 Na
0.750 0.750 0.000 Na
0.826 0.982 0.587 Na
0.895 0.482 0.156 Na
0.975 0.789 0.764 Na
0.250 0.750 0.500 P
0.750 0.250 0.500 P
0.078 0.849 0.586 Se
0.161 0.921 0.082 Se
0.237 0.651 0.229 Se
0.263 0.491 0.414 Se
0.339 0.421 0.760 Se
0.422 0.009 0.771 Se
0.578 0.991 0.229 Se
0.661 0.579 0.240 Se
0.737 0.509 0.586 Se
0.763 0.349 0.771 Se
0.839 0.079 0.918 Se
0.922 0.151 0.414 Se
```

***

2.
Here is an optimized crystal structure of NaPSe3 from the Alexandria database. Energies are from PBE.

Computed properties:
* ΔE_f (raw): -31 meV/atom
* relative energy among the computed polymorphs: 397 meV/atom
* space group: Pm-3m (221)
* DOS at the Fermi energy: 3.6 states/eV per cell

POSCAR file:
```
NaPSe3
1.0
4.939 0.000 0.000
0.000 4.939 0.000
0.000 0.000 4.939
Na P Se
1 1 3
direct
0.000 0.000 0.000 Na
0.500 0.500 0.500 P
0.000 0.500 0.500 Se
0.500 0.000 0.500 Se
0.500 0.500 0.000 Se
```

***

3.
Here is an optimized crystal structure of NaPSe4 from the Alexandria database. Energies are from PBE.

Computed properties:
* ΔE_f (raw): -302 meV/atom
* relative energy among the computed polymorphs: 0 meV/atom
* space group: Ama2 (40)

POSCAR file:
```
NaPSe4
1.0
8.507 0.000 0.000
0.000 5.827 3.527
0.000 -5.827 3.527
Na P Se
2 2 8
direct
0.000 0.000 0.000 Na
0.500 0.000 0.000 Na
0.250 0.546 0.410 P
0.750 0.410 0.546 P
0.060 0.484 0.161 Se
0.250 0.271 0.525 Se
0.250 0.886 0.680 Se
0.440 0.484 0.161 Se
0.560 0.161 0.484 Se
0.750 0.525 0.271 Se
0.750 0.680 0.886 Se
0.940 0.161 0.484 Se
```